A plane-wave DFT calculation with PBE was carried out for a relaxed structure of TbTh.

Results
Energy of formation, eV/atom: 0.9293
Energy above the most stable polymorph in this dataset, eV/atom: 0.8743

a b c (Å): 4.620 4.620 4.620
angles (deg): 60.00 60.00 60.00
Fractional positions:
Tb 0.000 0.000 0.000
Th 0.500 0.500 0.500

***

A plane-wave DFT calculation with PBE was carried out for a relaxed structure of HoLuSnTe3.

Results
Energy above the most stable polymorph in this dataset, eV/atom: 0.0000

a b c (Å): 8.333 8.333 11.789
angles (deg): 90.00 90.00 150.91
Fractional positions:
Ho 0.132 0.868 0.750
Ho 0.868 0.132 0.250
Lu 0.500 0.500 0.000
Lu 0.500 0.500 0.500
Sn 0.214 0.786 0.250
Sn 0.786 0.214 0.750
Te 0.137 0.863 0.007
Te 0.137 0.863 0.493
Te 0.495 0.505 0.750
Te 0.505 0.495 0.250
Te 0.863 0.137 0.507
Te 0.863 0.137 0.993

***

A plane-wave DFT calculation with PBE was carried out for a relaxed structure of HgB6.

a b c (Å): 4.184 4.184 4.184
angles (deg): 90.00 90.00 90.00
Fractional positions:
Hg 0.000 0.000 0.000
B 0.199 0.500 0.500
B 0.500 0.199 0.500
B 0.500 0.500 0.199
B 0.500 0.500 0.801
B 0.500 0.801 0.500
B 0.801 0.500 0.500

***

A plane-wave DFT calculation with PBE was carried out for a relaxed structure of Sc4AlFeC2.

a b c (Å): 3.270 3.270 14.394
angles (deg): 90.00 90.00 120.00
Fractional positions:
Sc 0.000 0.000 0.149
Sc 0.000 0.000 0.851
Sc 0.667 0.333 0.323
Sc 0.667 0.333 0.677
Al 0.000 0.000 0.500
Fe 0.667 0.333 0.000
C 0.333 0.667 0.237
C 0.333 0.667 0.763

***

A plane-wave DFT calculation with PBE was carried out for a relaxed structure of DySiAg.

a b c (Å): 7.030 7.030 4.197
angles (deg): 90.00 90.00 120.00
Fractional positions:
Dy 0.000 0.581 0.000
Dy 0.419 0.419 0.000
Dy 0.581 0.000 0.000
Si 0.000 0.000 0.000
Si 0.333 0.667 0.500
Si 0.667 0.333 0.500
Ag 0.000 0.250 0.500
Ag 0.250 0.000 0.500
Ag 0.750 0.750 0.500

***

A plane-wave DFT calculation with PBE was carried out for a relaxed structure of CsPaAl.

Results
Energy above the most stable polymorph in this dataset, eV/atom: 0.2905

a b c (Å): 5.105 5.105 5.105
angles (deg): 60.00 60.00 60.00
Fractional positions:
Cs 0.000 0.000 0.000
Pa 0.250 0.250 0.250
Al 0.750 0.750 0.750

***

A plane-wave DFT calculation with PBE was carried out for a relaxed structure of UWC2.

a b c (Å): 5.273 3.931 10.645
angles (deg): 90.00 90.00 90.00
Fractional positions:
U 0.120 0.250 0.129
U 0.380 0.750 0.629
U 0.620 0.250 0.371
U 0.880 0.750 0.871
W 0.097 0.750 0.395
W 0.403 0.250 0.895
W 0.597 0.750 0.105
W 0.903 0.250 0.605
C 0.140 0.250 0.344
C 0.233 0.250 0.489
C 0.267 0.750 0.989
C 0.360 0.750 0.844
C 0.640 0.250 0.156
C 0.733 0.250 0.011
C 0.767 0.750 0.511
C 0.860 0.750 0.656

***

A plane-wave DFT calculation with PBE was carried out for a relaxed structure of CsUTlS3.

a b c (Å): 9.058 9.058 11.550
angles (deg): 90.00 90.00 153.95
Fractional positions:
Cs 0.183 0.817 0.750
Cs 0.817 0.183 0.250
U 0.500 0.500 0.000
U 0.500 0.500 0.500
Tl 0.120 0.880 0.250
Tl 0.880 0.120 0.750
S 0.098 0.902 0.505
S 0.098 0.902 0.995
S 0.497 0.503 0.750
S 0.503 0.497 0.250
S 0.902 0.098 0.005
S 0.902 0.098 0.495

***

A plane-wave DFT calculation with PBE was carried out for a relaxed structure of GdI2Br.

a b c (Å): 7.497 7.497 7.609
angles (deg): 99.68 99.68 118.43
Fractional positions:
Gd 0.163 0.837 0.000
Gd 0.837 0.163 0.000
I 0.072 0.419 0.754
I 0.419 0.072 0.754
I 0.581 0.928 0.246
I 0.928 0.581 0.246
Br 0.206 0.206 0.226
Br 0.794 0.794 0.774

***

A plane-wave DFT calculation with PBE was carried out for a relaxed structure of Li3Ac2Ag2.

a b c (Å): 6.177 6.177 7.949
angles (deg): 114.33 114.33 41.34
Fractional positions:
Li 0.000 0.000 0.000
Li 0.150 0.150 0.433
Li 0.850 0.850 0.567
Ac 0.363 0.363 0.229
Ac 0.637 0.637 0.771
Ag 0.361 0.361 0.801
Ag 0.639 0.639 0.199

***

A plane-wave DFT calculation with PBE was carried out for a relaxed structure of TbGdSnPd2.

a b c (Å): 3.617 7.646 7.646
angles (deg): 32.40 90.00 90.00
Fractional positions:
Tb 0.000 0.000 0.000
Gd 0.000 0.262 0.262
Sn 0.500 0.631 0.631
Pd 0.500 0.441 0.441
Pd 0.500 0.822 0.822

***

A plane-wave DFT calculation with PBE was carried out for a relaxed structure of U3Pt4.

Results
Energy of formation, eV/atom: -0.6450

a b c (Å): 7.895 7.895 7.895
angles (deg): 114.46 114.46 114.46
Fractional positions:
U 0.024 0.287 0.402
U 0.287 0.402 0.024
U 0.402 0.024 0.287
U 0.598 0.976 0.713
U 0.713 0.598 0.976
U 0.976 0.713 0.598
Pt 0.000 0.000 0.000
Pt 0.063 0.555 0.226
Pt 0.226 0.063 0.555
Pt 0.445 0.774 0.937
Pt 0.500 0.500 0.500
Pt 0.555 0.226 0.063
Pt 0.774 0.937 0.445
Pt 0.937 0.445 0.774

***

A plane-wave DFT calculation with PBE was carried out for a relaxed structure of NaZnPS2O2.

Results
Energy above the most stable polymorph in this dataset, eV/atom: 0.0121

a b c (Å): 5.334 5.581 5.733
angles (deg): 91.31 117.60 117.42
Fractional positions:
Na 0.000 0.000 0.000
Zn 0.985 0.480 0.387
P 0.473 0.710 0.151
S 0.292 0.832 0.805
S 0.700 0.067 0.463
O 0.209 0.468 0.189
O 0.714 0.633 0.145

***

A plane-wave DFT calculation with PBE was carried out for a relaxed structure of Pr2Nd2IBr4N.

a b c (Å): 9.325 9.325 8.811
angles (deg): 103.49 103.49 24.46
Fractional positions:
Pr 0.001 0.001 0.306
Pr 0.999 0.999 0.694
Nd 0.362 0.362 0.429
Nd 0.638 0.638 0.571
I 0.500 0.500 0.000
Br 0.166 0.166 0.829
Br 0.172 0.172 0.339
Br 0.828 0.828 0.661
Br 0.834 0.834 0.171
N 0.500 0.500 0.500

***

A plane-wave DFT calculation with PBE was carried out for a relaxed structure of HgBiNO.

Results
Energy above the most stable polymorph in this dataset, eV/atom: 0.1291

a b c (Å): 6.536 7.330 6.063
angles (deg): 90.00 90.00 90.00
Fractional positions:
Hg 0.066 0.156 0.000
Hg 0.434 0.156 0.500
Hg 0.566 0.844 0.000
Hg 0.934 0.844 0.500
Bi 0.082 0.659 0.976
Bi 0.418 0.659 0.476
Bi 0.582 0.341 0.976
Bi 0.918 0.341 0.476
N 0.091 0.580 0.604
N 0.409 0.580 0.104
N 0.591 0.420 0.604
N 0.909 0.420 0.104
O 0.114 0.097 0.635
O 0.386 0.097 0.135
O 0.614 0.903 0.635
O 0.886 0.903 0.135

***

A plane-wave DFT calculation with PBE was carried out for a relaxed structure of ZnTc.

Results
Energy of formation, eV/atom: 0.1478
Energy above the most stable polymorph in this dataset, eV/atom: 0.1783

a b c (Å): 2.735 2.735 4.453
angles (deg): 90.00 90.00 120.00
Fractional positions:
Zn 0.000 0.000 0.000
Tc 0.333 0.667 0.500

***

A plane-wave DFT calculation with PBE was carried out for a relaxed structure of CsNdNiTe3.

Results
Energy above the most stable polymorph in this dataset, eV/atom: 0.0000

a b c (Å): 10.414 4.401 10.638
angles (deg): 90.00 112.06 90.00
Fractional positions:
Cs 0.217 0.250 0.262
Cs 0.783 0.750 0.738
Nd 0.324 0.750 0.863
Nd 0.676 0.250 0.137
Ni 0.095 0.250 0.624
Ni 0.905 0.750 0.376
Te 0.108 0.250 0.867
Te 0.155 0.750 0.538
Te 0.476 0.750 0.180
Te 0.524 0.250 0.820
Te 0.845 0.250 0.462
Te 0.892 0.750 0.133

***

A plane-wave DFT calculation with PBE was carried out for a relaxed structure of RbNdHgO3.

a b c (Å): 7.294 7.294 9.258
angles (deg): 90.00 90.00 150.53
Fractional positions:
Rb 0.182 0.818 0.750
Rb 0.818 0.182 0.250
Nd 0.500 0.500 0.000
Nd 0.500 0.500 0.500
Hg 0.107 0.893 0.250
Hg 0.893 0.107 0.750
O 0.110 0.890 0.029
O 0.110 0.890 0.471
O 0.469 0.531 0.250
O 0.531 0.469 0.750
O 0.890 0.110 0.529
O 0.890 0.110 0.971

***

A plane-wave DFT calculation with PBE was carried out for a relaxed structure of ScRe2Ge.

a b c (Å): 4.469 4.469 4.469
angles (deg): 60.00 60.00 60.00
Fractional positions:
Sc 0.000 0.000 0.000
Re 0.250 0.250 0.250
Re 0.500 0.500 0.500
Ge 0.750 0.750 0.750

***

A plane-wave DFT calculation with PBE was carried out for a relaxed structure of Cu2Ag.

Results
Energy of formation, eV/atom: 0.0942
Energy above the most stable polymorph in this dataset, eV/atom: 0.0484

a b c (Å): 4.689 4.689 8.095
angles (deg): 107.27 107.27 48.12
Fractional positions:
Cu 0.006 0.006 0.175
Cu 0.333 0.333 0.608
Cu 0.334 0.334 0.285
Cu 0.666 0.666 0.715
Cu 0.667 0.667 0.392
Cu 0.994 0.994 0.825
Ag 0.000 0.000 0.500
Ag 0.331 0.331 0.936
Ag 0.669 0.669 0.064

***

Table of calculated total energy (eV for the cell shown), in record order: -10.2, -55.3, -37.5, -57.8, -44.0, -9.0, -166.9, -66.5, -31.4, -20.8, -28.2, -125.3, -35.5, -51.3, -67.3, -11.3, -52.4, -63.2, -35.4, -29.9